Model i:
VASP calculation (PBE-GGA) on P2RuI after structural relaxation.

Lattice parameters (Å, degrees): 4.5824 4.5824 4.5824 60.00 60.00 60.00
Last column: nearest neighbours and their distance in Å.
Fractional coordinates of all 4 atoms:
Ru: 0.0000 0.0000 0.0000  8 P 2.81
I: 0.5000 0.5000 0.5000  8 P 2.81
P: 0.2500 0.2500 0.2500  4 I 2.81, 4 Ru 2.81
P: 0.7500 0.7500 0.7500  4 I 2.81, 4 Ru 2.81

Calculated values
Its density is 7.1 g cm⁻³. As for the space group: Fm-3m, No. 225.



Model ii:
VASP calculation (PBE-GGA) on P2RuI after structural relaxation.

Lattice parameters (Å, degrees): 6.3600 6.3600 6.7563 61.92 61.92 90.00
Last column: nearest neighbours and their distance in Å.
Fractional coordinates of all 8 atoms:
I: 0.7500 0.2500 0.5000  4 P 3.07
I: 0.0000 0.0000 0.0000  4 P 3.07
Ru: 0.5000 0.5000 0.0000  4 P 2.21
Ru: 0.2500 0.7500 0.5000  4 P 2.21
P: 0.5118 0.1250 0.2500  2 Ru 2.21
P: 0.8750 0.7618 0.7500  2 Ru 2.21
P: 0.2382 0.6250 0.2500  2 Ru 2.21
P: 0.3750 0.4882 0.7500  2 Ru 2.21

Calculated values
Its density is 4.7 g cm⁻³. As for the space group: I-42d, No. 122.



Least stable of them? model i.



Model i:
VASP calculation (PBE-GGA) on PRuI3 after structural relaxation.

Lattice parameters (Å, degrees): 5.3106 5.3106 5.3106 90.00 90.00 90.00
Last column: nearest neighbours and their distance in Å.
Fractional coordinates of all 5 atoms:
Ru: 0.0000 0.0000 0.0000  6 I 2.66
I: 0.0000 0.0000 0.5000  2 Ru 2.66
I: 0.0000 0.5000 0.0000  2 Ru 2.66
I: 0.5000 0.0000 0.0000  2 Ru 2.66
P: 0.5000 0.5000 0.5000  12 I 3.76

Calculated values
Its density is 5.7 g cm⁻³. As for the space group: Pm-3m, No. 221.



Model ii:
VASP calculation (PBE-GGA) on PRuI3 after structural relaxation.

Lattice parameters (Å, degrees): 5.4920 5.4920 5.4920 90.00 90.00 90.00
Last column: nearest neighbours and their distance in Å.
Fractional coordinates of all 5 atoms:
P: 0.0000 0.0000 0.0000  6 I 2.75
I: 0.5000 0.0000 0.0000  2 P 2.75
I: 0.0000 0.0000 0.5000  2 P 2.75
I: 0.0000 0.5000 0.0000  2 P 2.75
Ru: 0.5000 0.5000 0.5000  12 I 3.88

Calculated values
Its density is 5.1 g cm⁻³. As for the space group: Pm-3m, No. 221.



Least stable of them? model ii.



Model i:
VASP calculation (PBE-GGA) on P2RuSI after structural relaxation.

Lattice parameters (Å, degrees): 5.1072 5.1072 4.9342 90.00 90.00 90.00
Last column: nearest neighbours and their distance in Å.
Fractional coordinates of all 5 atoms:
I: 0.0000 0.0000 0.0000  2 S 2.47, 4 P 2.55
Ru: 0.5000 0.5000 0.5000  8 P 3.55, 4 S 3.61
P: 0.5000 0.0000 0.0000  2 I 2.55
P: 0.0000 0.5000 0.0000  2 I 2.55
S: 0.0000 0.0000 0.5000  2 I 2.47

Calculated values
Its density is 4.2 g cm⁻³. As for the space group: P4/mmm, No. 123.



Model ii:
VASP calculation (PBE-GGA) on P2RuSI after structural relaxation.

Lattice parameters (Å, degrees): 4.6656 4.6656 4.6967 90.00 90.00 90.00
Last column: nearest neighbours and their distance in Å.
Fractional coordinates of all 5 atoms:
Ru: 0.0000 0.0000 0.0000  4 P 2.33, 2 S 2.35
S: 0.0000 0.0000 0.5000  2 Ru 2.35
P: 0.0000 0.5000 0.0000  2 Ru 2.33
P: 0.5000 0.0000 0.0000  2 Ru 2.33
I: 0.5000 0.5000 0.5000  4 S 3.30, 8 P 3.31

Calculated values
Its density is 5.2 g cm⁻³. As for the space group: P4/mmm, No. 123.



Least stable of them? model i.



Model i:
VASP calculation (PBE-GGA) on PRuS2I after structural relaxation.

Lattice parameters (Å, degrees): 5.0031 5.0031 5.1764 90.00 90.00 90.00
Last column: nearest neighbours and their distance in Å.
Fractional coordinates of all 5 atoms:
S: 0.5000 0.0000 0.0000  2 I 2.50
S: 0.0000 0.5000 0.0000  2 I 2.50
Ru: 0.5000 0.5000 0.5000  4 P 3.54, 8 S 3.60
I: 0.0000 0.0000 0.0000  4 S 2.50, 2 P 2.59
P: 0.0000 0.0000 0.5000  2 I 2.59

Calculated values
Its density is 4.1 g cm⁻³. As for the space group: P4/mmm, No. 123.



Model ii:
VASP calculation (PBE-GGA) on PRuS2I after structural relaxation.

Lattice parameters (Å, degrees): 4.6350 4.6350 4.7688 90.00 90.00 90.00
Last column: nearest neighbours and their distance in Å.
Fractional coordinates of all 5 atoms:
Ru: 0.0000 0.0000 0.0000  4 S 2.32, 2 P 2.38
S: 0.5000 0.0000 0.0000  2 Ru 2.32
S: 0.0000 0.5000 0.0000  2 Ru 2.32
P: 0.0000 0.0000 0.5000  2 Ru 2.38
I: 0.5000 0.5000 0.5000  4 P 3.28, 8 S 3.33

Calculated values
Its density is 5.2 g cm⁻³. As for the space group: P4/mmm, No. 123.



Least stable of them? model i.



Model i:
VASP calculation (PBE-GGA) on Sb2PRuI after structural relaxation.

Lattice parameters (Å, degrees): 5.1744 5.1744 5.1741 90.00 90.00 90.00
Last column: nearest neighbours and their distance in Å.
Fractional coordinates of all 5 atoms:
P: 0.0000 0.0000 0.0000  2 I 2.59, 4 Sb 2.59
Sb: 0.0000 0.5000 0.0000  2 P 2.59
Sb: 0.5000 0.0000 0.0000  2 P 2.59
Ru: 0.5000 0.5000 0.5000  8 Sb 3.66, 4 I 3.66
I: 0.0000 0.0000 0.5000  2 P 2.59

Calculated values
Its density is 6.0 g cm⁻³. As for the space group: P4/mmm, No. 123.



Model ii:
VASP calculation (PBE-GGA) on Sb2PRuI after structural relaxation.

Lattice parameters (Å, degrees): 5.0574 5.0574 5.4058 90.00 90.00 90.00
Last column: nearest neighbours and their distance in Å.
Fractional coordinates of all 5 atoms:
Sb: 0.0000 0.5000 0.0000  2 Ru 2.53
Sb: 0.5000 0.0000 0.0000  2 Ru 2.53
P: 0.5000 0.5000 0.5000  4 I 3.58, 8 Sb 3.70
I: 0.0000 0.0000 0.5000  2 Ru 2.70
Ru: 0.0000 0.0000 0.0000  4 Sb 2.53, 2 I 2.70

Calculated values
Its density is 6.0 g cm⁻³. As for the space group: P4/mmm, No. 123.



Least stable of them? model i.



Model i:
VASP calculation (PBE-GGA) on Te2PRuI after structural relaxation.

Lattice parameters (Å, degrees): 5.1943 5.1943 5.1174 90.00 90.00 90.00
Last column: nearest neighbours and their distance in Å.
Fractional coordinates of all 5 atoms:
I: 0.0000 0.0000 0.5000  2 P 2.56
P: 0.0000 0.0000 0.0000  2 I 2.56, 4 Te 2.60
Ru: 0.5000 0.5000 0.5000  8 Te 3.65, 4 I 3.67
Te: 0.5000 0.0000 0.0000  2 P 2.60
Te: 0.0000 0.5000 0.0000  2 P 2.60

Calculated values
Its density is 6.2 g cm⁻³. As for the space group: P4/mmm, No. 123.



Model ii:
VASP calculation (PBE-GGA) on Te2PRuI after structural relaxation.

Lattice parameters (Å, degrees): 5.1156 5.1156 5.4084 90.00 90.00 90.00
Last column: nearest neighbours and their distance in Å.
Fractional coordinates of all 5 atoms:
Te: 0.0000 0.5000 0.0000  2 Ru 2.56
Te: 0.5000 0.0000 0.0000  2 Ru 2.56
P: 0.5000 0.5000 0.5000  4 I 3.62, 8 Te 3.72
I: 0.0000 0.0000 0.5000  2 Ru 2.70
Ru: 0.0000 0.0000 0.0000  4 Te 2.56, 2 I 2.70

Calculated values
Its density is 6.0 g cm⁻³. As for the space group: P4/mmm, No. 123.



Least stable of them? model i.